Record 1
Below is an optimized crystal structure of Li2Cr3WO8, with properties calculated at the PBE+U level.

magnetic moment	10.0	μB per formula unit
offset from the most stable computed form	0.0	kJ/mol of atoms
symmetry	P4_332 (212)

a = 8.533 Å, b = 8.533 Å, c = 8.533 Å
α = 90.00°, β = 90.00°, γ = 90.00°
Fractional positions:
Li 0.005 0.495 0.505
Li 0.245 0.745 0.755
Li 0.255 0.255 0.255
Li 0.495 0.505 0.005
Li 0.505 0.005 0.495
Li 0.745 0.755 0.245
Li 0.755 0.245 0.745
Li 0.995 0.995 0.995
Cr 0.122 0.128 0.625
Cr 0.125 0.378 0.872
Cr 0.128 0.625 0.122
Cr 0.372 0.375 0.622
Cr 0.375 0.622 0.372
Cr 0.378 0.872 0.125
Cr 0.622 0.372 0.375
Cr 0.625 0.122 0.128
Cr 0.628 0.875 0.878
Cr 0.872 0.125 0.378
Cr 0.875 0.878 0.628
Cr 0.878 0.628 0.875
W 0.125 0.875 0.375
W 0.375 0.125 0.875
W 0.625 0.625 0.625
W 0.875 0.375 0.125
O 0.111 0.385 0.116
O 0.111 0.611 0.889
O 0.115 0.884 0.611
O 0.116 0.111 0.385
O 0.134 0.865 0.139
O 0.135 0.639 0.366
O 0.139 0.134 0.865
O 0.139 0.361 0.639
O 0.361 0.639 0.139
O 0.361 0.866 0.365
O 0.365 0.361 0.866
O 0.366 0.135 0.639
O 0.384 0.889 0.885
O 0.385 0.116 0.111
O 0.389 0.389 0.389
O 0.389 0.615 0.616
O 0.611 0.115 0.884
O 0.611 0.889 0.111
O 0.615 0.616 0.389
O 0.616 0.389 0.615
O 0.634 0.635 0.861
O 0.635 0.861 0.634
O 0.639 0.139 0.361
O 0.639 0.366 0.135
O 0.861 0.634 0.635
O 0.861 0.861 0.861
O 0.865 0.139 0.134
O 0.866 0.365 0.361
O 0.884 0.611 0.115
O 0.885 0.384 0.889
O 0.889 0.111 0.611
O 0.889 0.885 0.384

---

Record 2
Below is an optimized crystal structure of Li2CrWO6, with properties calculated at the PBE+U level.

magnetic moment	2.0	μB per formula unit
offset from the most stable computed form	0.0	kJ/mol of atoms
symmetry	R3 (146)

a = 5.365 Å, b = 5.365 Å, c = 5.365 Å
α = 56.70°, β = 56.70°, γ = 56.70°
Fractional positions:
Li 0.000 0.000 0.000
Li 0.499 0.499 0.499
Cr 0.717 0.717 0.717
W 0.216 0.216 0.216
O 0.079 0.455 0.844
O 0.345 0.952 0.580
O 0.455 0.844 0.079
O 0.580 0.345 0.952
O 0.844 0.079 0.455
O 0.952 0.580 0.345

---

Record 3
Below is an optimized crystal structure of Li2Cr3WO8, with properties calculated at the PBE+U level.

magnetic moment	10.0	μB per formula unit
offset from the most stable computed form	0.6	kJ/mol of atoms
symmetry	R-3m (166)

a = 6.045 Å, b = 6.045 Å, c = 6.045 Å
α = 59.80°, β = 59.80°, γ = 59.80°
Fractional positions:
Li 0.130 0.130 0.130
Li 0.870 0.870 0.870
Cr 0.000 0.500 0.500
Cr 0.500 0.000 0.500
Cr 0.500 0.500 0.000
W 0.500 0.500 0.500
O 0.264 0.264 0.718
O 0.264 0.718 0.264
O 0.266 0.266 0.266
O 0.282 0.736 0.736
O 0.718 0.264 0.264
O 0.734 0.734 0.734
O 0.736 0.282 0.736
O 0.736 0.736 0.282

---

Record 4
Below is an optimized crystal structure of LiY2CrO6, with properties calculated at the PBE+U level.

magnetic moment	1.0	μB per formula unit
total DFT energy (no corrections)	-7.60	eV/atom
symmetry	P4mm (99)

a = 5.115 Å, b = 5.115 Å, c = 4.799 Å
α = 90.00°, β = 90.00°, γ = 90.00°
Fractional positions:
Li 0.000 0.000 0.000
Y 0.000 0.500 0.438
Y 0.500 0.000 0.438
Cr 0.500 0.500 0.022
O 0.000 0.000 0.596
O 0.264 0.264 0.159
O 0.264 0.736 0.159
O 0.500 0.500 0.662
O 0.736 0.264 0.159
O 0.736 0.736 0.159

---

Record 5
Below is an optimized crystal structure of Li2ZnCrO4, with properties calculated at the PBE+U level.

magnetic moment	2.0	μB per formula unit
total DFT energy (no corrections)	-5.76	eV/atom
symmetry	P2/m (10)

a = 5.163 Å, b = 2.950 Å, c = 5.228 Å
α = 90.00°, β = 111.04°, γ = 90.00°
Fractional positions:
Li 0.000 0.000 0.000
Li 0.000 0.500 0.500
Zn 0.500 0.000 0.500
Cr 0.500 0.500 0.000
O 0.265 0.000 0.775
O 0.281 0.500 0.235
O 0.719 0.500 0.765
O 0.735 0.000 0.225

---

Record 6
Below is an optimized crystal structure of LiZnCr2O4, with properties calculated at the PBE+U level.

magnetic moment	7.0	μB per formula unit
total DFT energy (no corrections)	-6.44	eV/atom
symmetry	I-4m2 (119)

a = 5.226 Å, b = 5.226 Å, c = 5.226 Å
α = 131.37°, β = 131.37°, γ = 71.22°
Fractional positions:
Li 0.000 0.000 0.000
Zn 0.250 0.750 0.500
Cr 0.500 0.500 0.000
Cr 0.750 0.250 0.500
O 0.260 0.260 0.000
O 0.507 0.007 0.500
O 0.740 0.740 0.000
O 0.993 0.493 0.500

---

Record 7
Below is an optimized crystal structure of Li4ZnCr3O8, with properties calculated at the PBE+U level.

magnetic moment	8.0	μB per formula unit
total DFT energy (no corrections)	-6.33	eV/atom
symmetry	R-3m (166)

a = 5.932 Å, b = 5.932 Å, c = 5.932 Å
α = 60.14°, β = 60.14°, γ = 60.14°
Fractional positions:
Li 0.000 0.000 0.000
Li 0.000 0.500 0.500
Li 0.500 0.000 0.500
Li 0.500 0.500 0.000
Zn 0.500 0.500 0.500
Cr 0.000 0.000 0.500
Cr 0.000 0.500 0.000
Cr 0.500 0.000 0.000
O 0.229 0.749 0.749
O 0.242 0.242 0.242
O 0.251 0.251 0.771
O 0.251 0.771 0.251
O 0.749 0.229 0.749
O 0.749 0.749 0.229
O 0.758 0.758 0.758
O 0.771 0.251 0.251

---

Record 8
Below is an optimized crystal structure of LiZrCrO4, with properties calculated at the PBE+U level.

magnetic moment	3.0	μB per formula unit
total DFT energy (no corrections)	-7.94	eV/atom
symmetry	Imma (74)

a = 6.188 Å, b = 6.188 Å, c = 6.188 Å
α = 121.44°, β = 117.30°, γ = 91.13°
Fractional positions:
Li 0.372 0.122 0.250
Li 0.628 0.878 0.750
Zr 0.000 0.500 0.500
Zr 0.500 0.500 0.000
Cr 0.000 0.000 0.500
Cr 0.000 0.500 0.000
O 0.207 0.743 0.465
O 0.222 0.257 0.965
O 0.238 0.258 0.520
O 0.238 0.718 0.980
O 0.762 0.282 0.020
O 0.762 0.742 0.480
O 0.778 0.743 0.035
O 0.793 0.257 0.535

---

Record 9
Below is an optimized crystal structure of LiZrCr2O6, with properties calculated at the PBE+U level.

magnetic moment	5.0	μB per formula unit
total DFT energy (no corrections)	-7.73	eV/atom
symmetry	P1 (1)

a = 5.175 Å, b = 5.176 Å, c = 5.426 Å
α = 90.74°, β = 117.53°, γ = 119.19°
Fractional positions:
Li 0.000 0.000 0.000
Zr 0.995 0.508 0.493
Cr 0.424 0.714 0.130
Cr 0.430 0.217 0.639
O 0.281 0.444 0.361
O 0.283 0.347 0.842
O 0.508 0.945 0.837
O 0.527 0.098 0.356
O 0.923 0.580 0.844
O 0.926 0.843 0.353